DFT (SCAN) results for CoPt2Rh at its PBEsol-relaxed geometry.

Results
Symmetry: No. 99
Total magnetization in μB per atom: 0.927
Final energy in eV/atom: -47.920

Structure (CIF):
```
data_CoPt2Rh
_chemical_formula_sum 'Co1 Pt2 Rh1'
_symmetry_space_group_name_H-M 'P 1'
_symmetry_Int_Tables_number 1
_cell_length_a 2.691
_cell_length_b 2.691
_cell_length_c 7.504
_cell_angle_alpha 90.00
_cell_angle_beta 90.00
_cell_angle_gamma 90.00
loop_
_symmetry_equiv_pos_as_xyz
'x,y,z'
loop_
_atom_site_label
_atom_site_type_symbol
_atom_site_fract_x
_atom_site_fract_y
_atom_site_fract_z
_atom_site_occupancy
Co1 Co 0.000 0.000 0.000 1
Pt1 Pt 0.000 0.000 0.513 1
Pt2 Pt 0.500 0.500 0.237 1
Rh1 Rh 0.500 0.500 0.775 1
```